# Cs2NaCaGe

Crystalline Cs2NaCaGe at its relaxed geometry (PBE-GGA, Alexandria via LeMat-Bulk).

Lattice parameters (Å, degrees): 7.7777 5.4730 7.7777 90.00 90.00 90.00
Last column: nearest neighbours and their distance in Å.
Fractional coordinates of all 5 atoms:
Cs  0.0000  0.0000  0.5000  2 Ca 3.89
Cs  0.5000  0.0000  0.0000  2 Ca 3.89
Na  0.5000  0.5000  0.5000  8 Cs 4.76
Ge  0.0000  0.5000  0.0000  2 Ca 2.74
Ca  0.0000  0.0000  0.0000  2 Ge 2.74

Values from the calculation:
- V: 331.08 Å³/cell
- Formation energy: 0.303 eV/atom
- E: -8.13 eV per formula unit

# Cs2CaGeO4

Crystalline Cs2CaGeO4 at its relaxed geometry (PBE-GGA, Alexandria via LeMat-Bulk).

Lattice parameters (Å, degrees): 5.6221 6.9045 12.0964 84.57 76.56 65.97
Last column: nearest neighbours and their distance in Å.
Fractional coordinates of all 16 atoms:
Cs  0.1796  0.0000  0.6408  4 O 3.34-3.35
Cs  0.8204  0.0000  0.3592  4 O 3.34-3.35
Cs  0.5704  0.5000  0.8592  4 O 3.34-3.35
Cs  0.9296  0.5000  0.1408  4 O 3.34-3.35
Ca  0.7500  0.5000  0.5000  4 O 2.22
Ca  0.0000  0.0000  0.0000  4 O 2.22
Ge  0.2500  0.5000  0.5000  4 O 1.80
Ge  0.5000  0.0000  0.0000  4 O 1.80
O  0.3471  0.8317  0.0805  1 Ge 1.80
O  0.2593  0.1683  0.9195  1 Ge 1.80
O  0.8213  0.8317  0.9195  1 Ge 1.80
O  0.5724  0.1683  0.0805  1 Ge 1.80
O  0.4029  0.6683  0.4195  1 Ge 1.80
O  0.4907  0.3317  0.5805  1 Ge 1.80
O  0.9287  0.6683  0.5805  1 Ge 1.80
O  0.1776  0.3317  0.4195  1 Ge 1.80

Values from the calculation:
- V: 417.13 Å³/cell
- E: -42.91 eV per formula unit

# CsCa2TiGe

Crystalline CsCa2TiGe at its relaxed geometry (PBE-GGA, Alexandria via LeMat-Bulk).

Lattice parameters (Å, degrees): 6.0087 5.1375 6.0087 90.00 90.00 90.00
Last column: nearest neighbours and their distance in Å.
Fractional coordinates of all 5 atoms:
Cs  0.5000  0.5000  0.5000  8 Ca 3.95, 4 Ge 4.25
Ge  0.0000  0.5000  0.0000  2 Ti 2.57
Ca  0.0000  0.0000  0.5000  2 Ti 3.00
Ca  0.5000  0.0000  0.0000  2 Ti 3.00
Ti  0.0000  0.0000  0.0000  2 Ge 2.57

Values from the calculation:
- V: 185.49 Å³/cell
- Formation energy: 0.365 eV/atom
- E: -15.54 eV per formula unit

# Cs2CaH

Crystalline Cs2CaH at its relaxed geometry (PBE-GGA, Alexandria via LeMat-Bulk).

Lattice parameters (Å, degrees): 6.9758 6.9758 6.9758 60.00 60.00 60.00
Last column: nearest neighbours and their distance in Å.
Fractional coordinates of all 4 atoms:
Cs  0.2500  0.2500  0.2500  4 H 4.27, 4 Ca 4.27
Cs  0.7500  0.7500  0.7500  4 H 4.27, 4 Ca 4.27
H  0.0000  0.0000  0.0000  8 Cs 4.27
Ca  0.5000  0.5000  0.5000  8 Cs 4.27

Values from the calculation:
- Polymorph energy (0 for the lowest one): 494 meV/atom
- V: 240.03 Å³/cell
- E: -4.96 eV per formula unit

# Cs2CaH2

Crystalline Cs2CaH2 at its relaxed geometry (PBE-GGA, Alexandria via LeMat-Bulk).

Lattice parameters (Å, degrees): 8.5623 8.5623 4.5487 90.00 90.00 90.00
Last column: nearest neighbours and their distance in Å.
Fractional coordinates of all 10 atoms:
Cs  0.1512  0.6512  0.5000  2 H 3.07
Cs  0.6512  0.8488  0.5000  2 H 3.07
Cs  0.8488  0.3488  0.5000  2 H 3.07
Cs  0.3488  0.1512  0.5000  2 H 3.07
H  0.3213  0.8213  0.0000  2 Cs 3.07, 2 Ca 3.15
H  0.8213  0.6787  0.0000  2 Cs 3.07, 2 Ca 3.15
H  0.6787  0.1787  0.0000  2 Cs 3.07, 2 Ca 3.15
H  0.1787  0.3213  0.0000  2 Cs 3.07, 2 Ca 3.15
Ca  0.0000  0.0000  0.0000  4 H 3.15
Ca  0.5000  0.5000  0.0000  4 H 3.15

Values from the calculation:
- Polymorph energy (0 for the lowest one): 0 meV/atom
- V: 333.48 Å³/cell
- E: -9.81 eV per formula unit

# Cs2CaH

Crystalline Cs2CaH at its relaxed geometry (PBE-GGA, Alexandria via LeMat-Bulk).

Lattice parameters (Å, degrees): 4.6006 7.1568 7.9176 65.65 73.54 89.85
Last column: nearest neighbours and their distance in Å.
Fractional coordinates of all 4 atoms:
Cs  0.6900  0.3829  0.9015  2 H 2.97
Cs  0.0208  0.7636  0.2373  1 H 3.00
Ca  0.3390  0.0781  0.6032  1 H 2.17
H  0.2129  0.1435  0.8572  1 Ca 2.17

Values from the calculation:
- Polymorph energy (0 for the lowest one): 22 meV/atom
- V: 225.81 Å³/cell
- E: -6.85 eV per formula unit

# Cs4CaH6

Crystalline Cs4CaH6 at its relaxed geometry (PBE-GGA, Alexandria via LeMat-Bulk).

Lattice parameters (Å, degrees): 8.4457 8.4457 8.9270 90.00 90.00 90.00
Last column: nearest neighbours and their distance in Å.
Fractional coordinates of all 22 atoms:
Cs  0.3274  0.1726  0.2500  6 H 3.13-3.16
Cs  0.1726  0.6726  0.7500  6 H 3.13-3.16
Cs  0.6726  0.8274  0.7500  6 H 3.13-3.16
Cs  0.8274  0.3274  0.7500  6 H 3.13-3.16
Cs  0.3274  0.1726  0.7500  6 H 3.13-3.16
Cs  0.1726  0.6726  0.2500  6 H 3.13-3.16
Cs  0.8274  0.3274  0.2500  6 H 3.13-3.16
Cs  0.6726  0.8274  0.2500  6 H 3.13-3.16
Ca  0.5000  0.5000  0.0000  6 H 2.27-2.35
Ca  0.0000  0.0000  0.5000  6 H 2.27-2.35
H  0.2654  0.9154  0.5000  1 Ca 2.35
H  0.7654  0.5846  0.0000  1 Ca 2.35
H  0.5846  0.2346  0.0000  1 Ca 2.35
H  0.0846  0.2654  0.5000  1 Ca 2.35
H  0.0000  0.0000  0.2460  1 Ca 2.27
H  0.5000  0.5000  0.2540  1 Ca 2.27
H  0.4154  0.7654  0.0000  1 Ca 2.35
H  0.0000  0.0000  0.7540  1 Ca 2.27
H  0.2346  0.4154  0.0000  1 Ca 2.35
H  0.5000  0.5000  0.7460  1 Ca 2.27
H  0.9154  0.7346  0.5000  1 Ca 2.35
H  0.7346  0.0846  0.5000  1 Ca 2.35

Values from the calculation:
- V: 636.75 Å³/cell
- E: -28.15 eV per formula unit

# CsCa2H

Crystalline CsCa2H at its relaxed geometry (PBE-GGA, Alexandria via LeMat-Bulk).

Lattice parameters (Å, degrees): 3.8934 3.8934 10.8538 79.67 79.67 60.00
Last column: nearest neighbours and their distance in Å.
Fractional coordinates of all 4 atoms:
Cs  0.0000  0.0000  0.0000  2 Ca 3.87, 6 Cs 3.89
H  0.5000  0.5000  0.5000  6 Ca 2.67
Ca  0.1215  0.1215  0.6354  3 H 2.67
Ca  0.8785  0.8785  0.3646  3 H 2.67

Values from the calculation:
- Polymorph energy (0 for the lowest one): 63 meV/atom
- V: 139.40 Å³/cell
- E: -7.99 eV per formula unit